Crystalline KLaGaMo2 at its relaxed geometry, computed with PBE.

Values from the calculation:
Its space group is P4/mmm (123). As for the formation energy: 1.6705 eV/atom. The value obtained for the volume is 149.9 Å³ per cell. The total magnetization is 2.830 μB/cell. For the total energy, the calculation gives -4.472 eV per atom.

a = 5.0343 Å, b = 5.9143 Å, c = 5.0343 Å
α = 90.00°, β = 90.00°, γ = 90.00°
Closest atoms and distances in Å follow each position.
Positions (direct):
Mo 0.5000 0.0000 0.0000  2 La 2.52
Mo 0.0000 0.0000 0.5000  2 La 2.52
La 0.0000 0.0000 0.0000  4 Mo 2.52
K 0.5000 0.5000 0.5000  4 Ga 3.56, 8 Mo 3.88
Ga 0.0000 0.5000 0.0000  2 La 2.96

Crystalline AsC2 at its relaxed geometry, computed with PBE.

Values from the calculation:
Its space group is Pnnm (58). As for the formation energy: 1.1220 eV/atom. The value obtained for the volume is 60.7 Å³ per cell. The total magnetization is 0.000 μB/cell. For the total energy, the calculation gives -6.577 eV per atom.

a = 3.1108 Å, b = 3.9554 Å, c = 4.9365 Å
α = 90.00°, β = 90.00°, γ = 90.00°
Closest atoms and distances in Å follow each position.
Positions (direct):
C 0.5000 0.6393 0.9164  1 C 1.38
C 0.5000 0.3607 0.0836  1 C 1.38
C 0.0000 0.1393 0.5836  1 C 1.38
C 0.0000 0.8607 0.4164  1 C 1.38
As 0.5000 0.5000 0.5000  6 C 2.13-2.15
As 0.0000 0.0000 0.0000  6 C 2.13-2.15

Crystalline RbAuSe2N at its relaxed geometry, computed with PBE.

Values from the calculation:
The formation energy without anion corrections is 1.837 eV per atom. Its space group is P4/mmm (123). The value obtained for the volume is 204.1 Å³ per cell. The total magnetization is 5.079 μB/cell. For the total energy, the calculation gives -2.071 eV per atom.

a = 6.2293 Å, b = 6.2293 Å, c = 5.2593 Å
α = 90.00°, β = 90.00°, γ = 90.00°
Closest atoms and distances in Å follow each position.
Positions (direct):
Rb 0.0000 0.0000 0.0000  2 N 2.63
Se 0.0000 0.5000 0.0000  2 Rb 3.11
Se 0.5000 0.0000 0.0000  2 Rb 3.11
N 0.0000 0.0000 0.5000  2 Rb 2.63
Au 0.5000 0.5000 0.5000  8 Se 4.08, 4 N 4.40

Crystalline Ba8Ag2Ge at its relaxed geometry, computed with PBE.

Values from the calculation:
Its space group is Cm (8). As for the formation energy: -0.1492 eV/atom. The value obtained for the volume is 537.4 Å³ per cell. The total magnetization is 0.001 μB/cell. For the total energy, the calculation gives -2.486 eV per atom.

a = 7.6007 Å, b = 9.0249 Å, c = 9.0249 Å
α = 111.79°, β = 101.48°, γ = 101.48°
Closest atoms and distances in Å follow each position.
Positions (direct):
Ba 0.5830 0.0832 0.3445  2 Ag 3.41, 1 Ge 3.41
Ba 0.3558 0.9262 0.6610  1 Ge 3.37, 2 Ag 3.42-3.45
Ba 0.5830 0.3445 0.0832  2 Ag 3.41, 1 Ge 3.41
Ba 0.9839 0.8029 0.1904  1 Ge 3.39
Ba 0.3558 0.6610 0.9262  1 Ge 3.37, 2 Ag 3.42-3.45
Ba 0.1758 0.3469 0.3469  1 Ge 3.55, 2 Ag 3.58
Ba 0.7965 0.6567 0.6567  2 Ag 3.60, 1 Ge 3.87
Ba 0.9839 0.1904 0.8029  1 Ge 3.39
Ag 0.4810 0.3235 0.6895  6 Ba 3.41-3.60
Ag 0.4810 0.6895 0.3235  6 Ba 3.41-3.60
Ge 0.2201 0.0091 0.0091  7 Ba 3.37-3.55

Crystalline Sm6Dy2Er3In at its relaxed geometry, computed with PBE.

Values from the calculation:
Its space group is C2/m (12). As for the formation energy: -0.0394 eV/atom. The value obtained for the volume is 376.9 Å³ per cell. The total magnetization is 0.001 μB/cell. For the total energy, the calculation gives -4.535 eV per atom.

a = 6.1467 Å, b = 6.1467 Å, c = 11.7103 Å
α = 95.04°, β = 95.04°, γ = 120.07°
Closest atoms and distances in Å follow each position.
Positions (direct):
Dy 0.3337 0.6663 0.0000  6 Sm 3.54, 3 Dy 3.54-3.55, 3 In 3.54-3.55
Dy 0.6663 0.3337 0.0000  6 Sm 3.54, 3 Dy 3.54-3.55, 3 In 3.54-3.55
In 0.0000 0.0000 0.0000  6 Sm 3.50-3.52, 6 Dy 3.54-3.55
Sm 0.4107 0.0828 0.2488  6 Sm 3.49-3.58, 1 In 3.50, 2 Dy 3.54, 3 Er 3.54-3.56
Sm 0.7551 0.7551 0.2500  6 Sm 3.49-3.58, 1 In 3.52, 3 Er 3.53-3.56, 2 Dy 3.54
Sm 0.9172 0.5893 0.7512  6 Sm 3.49-3.58, 1 In 3.50, 2 Dy 3.54, 3 Er 3.54-3.56
Sm 0.2449 0.2449 0.7500  6 Sm 3.49-3.58, 1 In 3.52, 3 Er 3.53-3.56, 2 Dy 3.54
Sm 0.0828 0.4107 0.2488  6 Sm 3.49-3.58, 1 In 3.50, 2 Dy 3.54, 3 Er 3.54-3.56
Sm 0.5893 0.9172 0.7512  6 Sm 3.49-3.58, 1 In 3.50, 2 Dy 3.54, 3 Er 3.54-3.56
Er 0.1673 0.8327 0.5000  6 Sm 3.53-3.56, 6 Er 3.54-3.56
Er 0.8327 0.1673 0.5000  6 Sm 3.53-3.56, 6 Er 3.54-3.56
Er 0.5000 0.5000 0.5000  6 Sm 3.54-3.56, 6 Er 3.54-3.55

Crystalline Pm5CuGe4 at its relaxed geometry, computed with PBE.

Values from the calculation:
Its space group is I4 (79). As for the formation energy: -0.5477 eV/atom. The value obtained for the volume is 271.3 Å³ per cell. The total magnetization is 0.000 μB/cell. For the total energy, the calculation gives -5.180 eV per atom.

a = 6.0194 Å, b = 7.3576 Å, c = 7.3576 Å
α = 80.37°, β = 65.85°, γ = 65.85°
Closest atoms and distances in Å follow each position.
Positions (direct):
Pm 0.2908 0.7934 0.5953  5 Ge 2.98-3.04, 1 Cu 3.10
Pm 0.0842 0.5953 0.2066  5 Ge 2.98-3.04, 1 Cu 3.10
Pm 0.8860 0.4047 0.7934  5 Ge 2.98-3.04, 1 Cu 3.10
Pm 0.5667 0.0000 0.0000  2 Cu 2.94-3.08, 4 Ge 3.00
Pm 0.6795 0.2066 0.4047  5 Ge 2.98-3.04, 1 Cu 3.10
Ge 0.7749 0.8095 0.6030  6 Pm 2.98-3.04
Ge 0.1874 0.1905 0.3970  6 Pm 2.98-3.04
Ge 0.3779 0.3970 0.8095  6 Pm 2.98-3.04
Ge 0.5844 0.6030 0.1905  6 Pm 2.98-3.04
Cu 0.0786 0.0000 0.0000  6 Pm 2.94-3.10

Crystalline NaAcTm2Hg4 at its relaxed geometry, computed with PBE.

Values from the calculation:
Its space group is R-3m (166). As for the formation energy: -0.3720 eV/atom. The value obtained for the volume is 216.4 Å³ per cell. The total magnetization is 0.000 μB/cell. For the total energy, the calculation gives -2.319 eV per atom.

a = 5.2167 Å, b = 5.2167 Å, c = 9.6651 Å
α = 74.34°, β = 74.34°, γ = 60.00°
Closest atoms and distances in Å follow each position.
Positions (direct):
Hg 0.1271 0.1271 0.6187  4 Tm 3.13-3.16, 3 Na 3.20, 1 Ac 3.50
Hg 0.8729 0.8729 0.3813  4 Tm 3.13-3.16, 3 Na 3.20, 1 Ac 3.50
Hg 0.3881 0.3881 0.8356  1 Na 3.08, 3 Tm 3.19, 3 Ac 3.37
Hg 0.6119 0.6119 0.1644  1 Na 3.08, 3 Tm 3.19, 3 Ac 3.37
Ac 0.0000 0.0000 0.0000  8 Hg 3.37-3.50
Tm 0.2407 0.2407 0.2778  7 Hg 3.13-3.19
Tm 0.7593 0.7593 0.7222  7 Hg 3.13-3.19
Na 0.5000 0.5000 0.5000  8 Hg 3.08-3.20

Crystalline Rb3SiN at its relaxed geometry, computed with PBE.

Values from the calculation:
The formation energy without anion corrections is 0.759 eV per atom. Its space group is Pm-3m (221). The value obtained for the volume is 192.8 Å³ per cell. The total magnetization is 4.000 μB/cell. For the total energy, the calculation gives -2.571 eV per atom.

a = 5.7774 Å, b = 5.7774 Å, c = 5.7774 Å
α = 90.00°, β = 90.00°, γ = 90.00°
Closest atoms and distances in Å follow each position.
Positions (direct):
Rb 0.0000 0.5000 0.0000  2 N 2.89
Rb 0.0000 0.0000 0.5000  2 N 2.89
Rb 0.5000 0.0000 0.0000  2 N 2.89
N 0.0000 0.0000 0.0000  6 Rb 2.89
Si 0.5000 0.5000 0.5000  12 Rb 4.09